PBE PmSm3Hg2, optimized geometry; relative energy among the computed polymorphs = 0.0 meV/atom; total energy = -3.59 eV/atom; magnetic moment = 0.0 μB per formula unit; energy relative to the elements = -0.336 eV per atom; volume = 357.3 Å³/cell; crystal system = orthorhombic; space group = Pmc2_1, No. 26
1.0
5.2246 0.0000 0.0000
0.0000 9.4977 0.0000
0.0000 0.0000 7.2006
Pm Sm Hg
2 6 4
Direct
0.0000 0.0564 0.0000
0.0000 0.9436 0.5000
0.0000 0.3267 0.6571
0.0000 0.6733 0.1571
0.5000 0.1745 0.3155
0.5000 0.4436 0.9722
0.5000 0.5564 0.4722
0.5000 0.8255 0.8155
0.0000 0.3514 0.2230
0.0000 0.6486 0.7230
0.5000 0.1493 0.7491
0.5000 0.8507 0.2491


PBE PmSm6Hg, optimized geometry; total energy = -4.18 eV/atom; magnetic moment = 0.0 μB per formula unit; energy relative to the elements = -0.014 eV per atom; volume = 262.5 Å³/cell; crystal system = triclinic; space group = P-1, No. 2
1.0
6.4257 0.0000 0.0000
-0.5597 6.4034 0.0000
-0.5431 -0.6076 6.3788
Pm Sm Hg
1 6 1
Direct
0.0000 0.0000 0.0000
0.0597 0.2605 0.5414
0.2605 0.5409 0.0599
0.4589 0.9407 0.7396
0.5411 0.0593 0.2604
0.7395 0.4591 0.9401
0.9403 0.7395 0.4586
0.5000 0.5000 0.5000


PBE Pm2SmHg, optimized geometry; relative energy among the computed polymorphs = 0.0 meV/atom; total energy = -3.86 eV/atom; magnetic moment = 0.0 μB per formula unit; energy relative to the elements = -0.227 eV per atom; volume = 124.1 Å³/cell; crystal system = tetragonal; space group = P4/mmm, No. 123
1.0
3.7144 0.0000 0.0000
0.0000 3.7144 0.0000
0.0000 0.0000 8.9933
Pm Sm Hg
2 1 1
Direct
0.0000 0.0000 0.2214
0.0000 0.0000 0.7786
0.5000 0.5000 0.5000
0.5000 0.5000 0.0000


PBE Pm2Sm2Hg5, optimized geometry; total energy = -2.61 eV/atom; magnetic moment = 0.0 μB per formula unit; energy relative to the elements = -0.340 eV per atom; volume = 525.2 Å³/cell; crystal system = orthorhombic; space group = Cmce, No. 64
1.0
8.0558 -4.3251 0.0000
8.0558 4.3251 0.0000
0.0000 0.0000 7.5376
Pm Sm Hg
4 4 10
Direct
0.1646 0.8354 0.8575
0.3354 0.6646 0.3575
0.6646 0.3354 0.6425
0.8354 0.1646 0.1425
0.1942 0.1942 0.5000
0.3058 0.3058 0.0000
0.6942 0.6942 0.0000
0.8058 0.8058 0.5000
0.0000 0.0000 0.5000
0.0176 0.6940 0.1391
0.1940 0.5176 0.6391
0.3060 0.9824 0.1391
0.4824 0.8060 0.6391
0.5000 0.5000 0.0000
0.5176 0.1940 0.3609
0.6940 0.0176 0.8609
0.8060 0.4824 0.3609
0.9824 0.3060 0.8609


PBE Pm2SmHg, optimized geometry; relative energy among the computed polymorphs = 164.2 meV/atom; total energy = -3.69 eV/atom; magnetic moment = 0.0 μB per formula unit; energy relative to the elements = -0.063 eV per atom; volume = 119.1 Å³/cell; crystal system = cubic; space group = Fm-3m, No. 225
1.0
0.0000 3.9049 3.9049
3.9049 0.0000 3.9049
3.9049 3.9049 0.0000
Pm Sm Hg
2 1 1
Direct
0.2500 0.2500 0.2500
0.7500 0.7500 0.7500
0.0000 0.0000 0.0000
0.5000 0.5000 0.5000


PBE PmSm2Hg3, optimized geometry; total energy = -2.99 eV/atom; magnetic moment = 1.3 μB per formula unit; energy relative to the elements = -0.473 eV per atom; volume = 329.5 Å³/cell; crystal system = orthorhombic; space group = Cmmm, No. 65
1.0
2.6796 -8.0355 0.0000
2.6796 8.0355 0.0000
0.0000 0.0000 7.6505
Pm Sm Hg
2 4 6
Direct
0.1666 0.8334 0.0000
0.8334 0.1666 0.0000
0.1670 0.8330 0.5000
0.5000 0.5000 0.0000
0.5000 0.5000 0.5000
0.8330 0.1670 0.5000
0.0000 0.0000 0.2517
0.0000 0.0000 0.7483
0.3339 0.6661 0.2518
0.3339 0.6661 0.7482
0.6661 0.3339 0.2518
0.6661 0.3339 0.7482


PBE Pm4Sm2Hg, optimized geometry; total energy = -4.12 eV/atom; magnetic moment = 0.0 μB per formula unit; energy relative to the elements = -0.010 eV per atom; volume = 230.4 Å³/cell; crystal system = monoclinic; space group = C2/m, No. 12
1.0
8.4015 -1.7974 0.0000
8.4015 1.7974 0.0000
-3.9649 0.0000 7.6283
Pm Sm Hg
4 2 1
Direct
0.0823 0.0823 0.2014
0.3733 0.3733 0.1176
0.6267 0.6267 0.8824
0.9177 0.9177 0.7986
0.2162 0.2162 0.6393
0.7838 0.7838 0.3607
0.0000 0.0000 0.5000


PBE Pm9Sm4Hg11, optimized geometry; total energy = -3.09 eV/atom; magnetic moment = 1.2 μB per formula unit; energy relative to the elements = -0.383 eV per atom; volume = 670.2 Å³/cell; crystal system = orthorhombic; space group = Cmmm, No. 65
1.0
7.9730 -11.5487 0.0000
7.9730 11.5487 0.0000
0.0000 0.0000 3.6393
Pm Sm Hg
9 4 11
Direct
0.0000 0.0000 0.0000
0.1212 0.6479 0.0000
0.2946 0.4725 0.0000
0.3521 0.8788 0.0000
0.4725 0.2946 0.0000
0.5275 0.7054 0.0000
0.6479 0.1212 0.0000
0.7054 0.5275 0.0000
0.8788 0.3521 0.0000
0.0696 0.2462 0.0000
0.2462 0.0696 0.0000
0.7538 0.9304 0.0000
0.9304 0.7538 0.0000
0.0884 0.4453 0.5000
0.1326 0.8674 0.5000
0.2671 0.2671 0.5000
0.3243 0.6757 0.5000
0.4453 0.0884 0.5000
0.5000 0.5000 0.5000
0.5547 0.9116 0.5000
0.6757 0.3243 0.5000
0.7329 0.7329 0.5000
0.8674 0.1326 0.5000
0.9116 0.5547 0.5000


PBE Pm2SmHg8, optimized geometry; relative energy among the computed polymorphs = 0.0 meV/atom; total energy = -1.86 eV/atom; magnetic moment = 0.0 μB per formula unit; energy relative to the elements = -0.351 eV per atom; volume = 280.6 Å³/cell; crystal system = monoclinic; space group = C2/m, No. 12
1.0
8.0718 -2.5311 0.0000
8.0718 2.5311 0.0000
-2.5217 0.0000 6.8666
Pm Sm Hg
2 1 8
Direct
0.2101 0.2101 0.1535
0.7899 0.7899 0.8465
0.5000 0.5000 0.5000
0.0221 0.0221 0.2283
0.1515 0.1515 0.6724
0.3293 0.3293 0.6022
0.4055 0.4055 0.0456
0.5945 0.5945 0.9544
0.6707 0.6707 0.3978
0.8485 0.8485 0.3276
0.9779 0.9779 0.7717


PBE Pm2SmHg2, optimized geometry; relative energy among the computed polymorphs = 0.0 meV/atom; total energy = -3.34 eV/atom; magnetic moment = 0.5 μB per formula unit; energy relative to the elements = -0.377 eV per atom; volume = 289.5 Å³/cell; crystal system = monoclinic; space group = P2_1/m, No. 11
1.0
3.8205 0.0000 0.0000
0.0000 5.4352 0.0000
-1.9151 0.0000 13.9397
Pm Sm Hg
4 2 4
Direct
0.0473 0.2500 0.0929
0.2344 0.2500 0.4706
0.7656 0.7500 0.5294
0.9527 0.7500 0.9071
0.1465 0.7500 0.2909
0.8535 0.2500 0.7091
0.3575 0.7500 0.7144
0.4495 0.2500 0.9004
0.5505 0.7500 0.0996
0.6425 0.2500 0.2856


PBE PmSm2Hg5, optimized geometry; total energy = -2.40 eV/atom; magnetic moment = 0.0 μB per formula unit; energy relative to the elements = -0.439 eV per atom; volume = 208.5 Å³/cell; crystal system = tetragonal; space group = I4/mmm, No. 139
1.0
-2.6415 2.6415 7.4708
2.6415 -2.6415 7.4708
2.6415 2.6415 -7.4708
Pm Sm Hg
1 2 5
Direct
0.0000 0.0000 0.0000
0.2675 0.2675 0.0000
0.7325 0.7325 0.0000
0.1232 0.6232 0.5000
0.3768 0.8768 0.5000
0.5000 0.5000 0.0000
0.6232 0.1232 0.5000
0.8768 0.3768 0.5000


PBE PmSmHg2, optimized geometry; relative energy among the computed polymorphs = 0.1 meV/atom; total energy = -2.99 eV/atom; magnetic moment = 0.8 μB per formula unit; energy relative to the elements = -0.475 eV per atom; volume = 110.1 Å³/cell; crystal system = cubic; space group = Fm-3m, No. 225
1.0
0.0000 3.8043 3.8043
3.8043 0.0000 3.8043
3.8043 3.8043 0.0000
Pm Sm Hg
1 1 2
Direct
0.0000 0.0000 0.0000
0.5000 0.5000 0.5000
0.2500 0.2500 0.2500
0.7500 0.7500 0.7500


PBE PmSm2Hg6, optimized geometry; relative energy among the computed polymorphs = 44.8 meV/atom; total energy = -2.15 eV/atom; magnetic moment = 0.0 μB per formula unit; energy relative to the elements = -0.377 eV per atom; volume = 235.0 Å³/cell; crystal system = orthorhombic; space group = Immm, No. 71
1.0
-1.7874 4.2779 7.6840
1.7874 -4.2779 7.6840
1.7874 4.2779 -7.6840
Pm Sm Hg
1 2 6
Direct
0.0000 0.0000 0.0000
0.3517 0.8517 0.5000
0.6483 0.1483 0.5000
0.0021 0.3288 0.6733
0.3262 0.5000 0.8262
0.3444 0.6712 0.6733
0.6556 0.3288 0.3267
0.6738 0.5000 0.1738
0.9979 0.6712 0.3267


PBE Pm5SmHg3, optimized geometry; total energy = -3.55 eV/atom; magnetic moment = 0.0 μB per formula unit; energy relative to the elements = -0.283 eV per atom; volume = 532.0 Å³/cell; crystal system = hexagonal; space group = P6_3/mcm, No. 193
1.0
9.3210 0.0000 0.0000
-4.6605 8.0722 0.0000
0.0000 0.0000 7.0702
Pm Sm Hg
10 2 6
Direct
0.0000 0.3341 0.2500
0.0000 0.6659 0.7500
0.3333 0.6667 0.0000
0.3333 0.6667 0.5000
0.3341 0.0000 0.2500
0.3341 0.3341 0.7500
0.6659 0.0000 0.7500
0.6659 0.6659 0.2500
0.6667 0.3333 0.0000
0.6667 0.3333 0.5000
0.0000 0.0000 0.0000
0.0000 0.0000 0.5000
0.0000 0.3318 0.7500
0.0000 0.6682 0.2500
0.3318 0.0000 0.7500
0.3318 0.3318 0.2500
0.6682 0.0000 0.2500
0.6682 0.6682 0.7500


PBE PmSm2Hg2, optimized geometry; relative energy among the computed polymorphs = 133.8 meV/atom; total energy = -3.20 eV/atom; magnetic moment = 0.9 μB per formula unit; energy relative to the elements = -0.245 eV per atom; volume = 155.0 Å³/cell; crystal system = trigonal; space group = P-3m1, No. 164
1.0
5.2674 0.0000 0.0000
-2.6337 4.5617 0.0000
0.0000 0.0000 6.4510
Pm Sm Hg
1 2 2
Direct
0.0000 0.0000 0.0000
0.3333 0.6667 0.6557
0.6667 0.3333 0.3443
0.3333 0.6667 0.1656
0.6667 0.3333 0.8344


PBE Pm2SmHg7, optimized geometry; relative energy among the computed polymorphs = 0.0 meV/atom; total energy = -1.95 eV/atom; magnetic moment = 0.0 μB per formula unit; energy relative to the elements = -0.322 eV per atom; volume = 270.9 Å³/cell; crystal system = trigonal; space group = P3m1, No. 156
1.0
5.0457 0.0000 0.0000
-2.5228 4.3697 0.0000
0.0000 0.0000 12.2857
Pm Sm Hg
2 1 7
Direct
0.0000 0.0000 0.0000
0.3333 0.6667 0.6794
0.6667 0.3333 0.3191
0.0000 0.0000 0.2440
0.0000 0.0000 0.4997
0.0000 0.0000 0.7562
0.3333 0.6667 0.1316
0.3333 0.6667 0.4096
0.6667 0.3333 0.5873
0.6667 0.3333 0.8676


PBE Pm2Sm3Hg, optimized geometry; total energy = -4.06 eV/atom; magnetic moment = 0.0 μB per formula unit; energy relative to the elements = -0.066 eV per atom; volume = 380.1 Å³/cell; crystal system = monoclinic; space group = C2/m, No. 12
1.0
3.0962 -5.3849 0.0000
3.0962 5.3849 0.0000
-2.1014 0.0000 11.3981
Pm Sm Hg
4 6 2
Direct
0.0000 0.0000 0.0000
0.1640 0.8360 0.5000
0.5000 0.5000 0.5000
0.8360 0.1640 0.5000
0.0784 0.4223 0.2407
0.2633 0.2633 0.7595
0.4223 0.0784 0.2407
0.5777 0.9216 0.7593
0.7367 0.7367 0.2405
0.9216 0.5777 0.7593
0.3332 0.6668 0.0000
0.6668 0.3332 0.0000


PBE Pm2SmHg7, optimized geometry; relative energy among the computed polymorphs = 59.3 meV/atom; total energy = -1.90 eV/atom; magnetic moment = 0.0 μB per formula unit; energy relative to the elements = -0.262 eV per atom; volume = 285.2 Å³/cell; crystal system = trigonal; space group = P3m1, No. 156
1.0
5.0947 0.0000 0.0000
-2.5473 4.4121 0.0000
0.0000 0.0000 12.6861
Pm Sm Hg
2 1 7
Direct
0.0000 0.0000 0.0000
0.3333 0.6667 0.6597
0.6667 0.3333 0.3206
0.0000 0.0000 0.2571
0.0000 0.0000 0.7482
0.3333 0.6667 0.1605
0.3333 0.6667 0.4176
0.3333 0.6667 0.9018
0.6667 0.3333 0.0658
0.6667 0.3333 0.5710


PBE Pm3SmHg7, optimized geometry; total energy = -2.25 eV/atom; magnetic moment = 0.0 μB per formula unit; energy relative to the elements = -0.334 eV per atom; volume = 615.5 Å³/cell; crystal system = orthorhombic; space group = Cmcm, No. 63
1.0
1.8668 -12.4906 0.0000
1.8668 12.4906 0.0000
0.0000 0.0000 13.1974
Pm Sm Hg
6 2 14
Direct
0.1432 0.8568 0.5716
0.1432 0.8568 0.9284
0.1779 0.8221 0.2500
0.8221 0.1779 0.7500
0.8568 0.1432 0.0716
0.8568 0.1432 0.4284
0.0196 0.9804 0.2500
0.9804 0.0196 0.7500
0.2735 0.7265 0.5795
0.2735 0.7265 0.9205
0.3065 0.6935 0.2500
0.4028 0.5972 0.6143
0.4028 0.5972 0.8857
0.4613 0.5387 0.0907
0.4613 0.5387 0.4093
0.5387 0.4613 0.5907
0.5387 0.4613 0.9093
0.5972 0.4028 0.1143
0.5972 0.4028 0.3857
0.6935 0.3065 0.7500
0.7265 0.2735 0.0795
0.7265 0.2735 0.4205


PBE PmSmHg2, optimized geometry; relative energy among the computed polymorphs = 147.9 meV/atom; total energy = -2.85 eV/atom; magnetic moment = 0.0 μB per formula unit; energy relative to the elements = -0.327 eV per atom; volume = 119.7 Å³/cell; crystal system = trigonal; space group = R3m, No. 160
1.0
1.9352 1.1173 9.2247
-1.9352 1.1173 9.2247
0.0000 -2.2346 9.2247
Pm Sm Hg
1 1 2
Direct
0.0000 0.0000 0.0000
0.8338 0.8338 0.8338
0.4172 0.4172 0.4172
0.5833 0.5833 0.5833


PBE Pm5Sm3Hg2, optimized geometry; total energy = -3.80 eV/atom; magnetic moment = 0.0 μB per formula unit; energy relative to the elements = 0.049 eV per atom; volume = 676.7 Å³/cell; crystal system = orthorhombic; space group = Ibam, No. 72
1.0
-6.9233 7.1138 3.4349
6.9233 -7.1138 3.4349
6.9233 7.1138 -3.4349
Pm Sm Hg
10 6 4
Direct
0.1808 0.0834 0.2642
0.2500 0.0182 0.7682
0.2500 0.2500 0.0000
0.2500 0.4818 0.2318
0.3192 0.5834 0.9026
0.6808 0.4166 0.0974
0.7500 0.5182 0.7682
0.7500 0.7500 0.0000
0.7500 0.9818 0.2318
0.8192 0.9166 0.7358
0.2247 0.3457 0.5704
0.2500 0.7500 0.5000
0.2753 0.8457 0.1210
0.7247 0.1543 0.8790
0.7500 0.2500 0.5000
0.7753 0.6543 0.4296
0.1233 0.6356 0.7589
0.3767 0.1356 0.5123
0.6233 0.8644 0.4877
0.8767 0.3644 0.2411